Density functional theory data (GGA-PBE) for a geometry-optimized Th2VBi structure.

Computed properties:
Calculated formation energy (eV/atom): 0.2074
Crystal system: trigonal

```
12
Lattice="5.2285 0.0000 0.0000 -2.6143 4.5280 0.0000 0.0000 0.0000 14.6270" Properties=species:S:1:pos:R:3 pbc="T T T"
Th 0.0000 0.0000 3.5946
Th 0.0000 0.0000 11.0324
Th 0.0000 3.0187 6.1567
Th 0.0000 3.0187 13.3459
Th 2.6143 1.5093 1.2811
Th 2.6143 1.5093 8.4702
V 0.0000 0.0000 7.3135
V 0.0000 3.0187 2.4378
V 2.6143 1.5093 12.1891
Bi 0.0000 0.0000 0.0000
Bi 0.0000 3.0187 9.7513
Bi 2.6143 1.5093 4.8757
```

Density functional theory data (GGA-PBE) for a geometry-optimized Ag2I4Cl structure.

Computed properties:
E_form (uncorrected) (eV per atom): 0.06
Crystal system: tetragonal

```
14
Lattice="5.6681 0.0000 0.0000 0.0000 5.6681 0.0000 0.0000 0.0000 16.6634" Properties=species:S:1:pos:R:3 pbc="T T T"
Ag 0.0000 0.0000 1.4212
Ag 0.0000 0.0000 15.2421
Ag 2.8341 2.8341 6.9105
Ag 2.8341 2.8341 9.7529
I 0.0000 0.0000 4.1106
I 0.0000 0.0000 12.5527
I 0.0000 2.8341 0.0000
I 0.0000 2.8341 8.3317
I 2.8341 0.0000 0.0000
I 2.8341 0.0000 8.3317
I 2.8341 2.8341 4.2210
I 2.8341 2.8341 12.4423
Cl 0.0000 0.0000 8.3317
Cl 2.8341 2.8341 0.0000
```

Density functional theory data (GGA-PBE) for a geometry-optimized AcLa2Nd structure.

Computed properties:
Calculated formation energy (eV/atom): 0.0110
Crystal system: tetragonal
Energy relative to the lowest polymorph listed for this composition (meV/atom): 0

```
4
Lattice="5.3275 0.0000 0.0000 0.0000 5.3275 0.0000 0.0000 0.0000 5.3576" Properties=species:S:1:pos:R:3 pbc="T T T"
Ac 0.0000 0.0000 0.0000
La 0.0000 2.6638 2.6788
La 2.6638 0.0000 2.6788
Nd 2.6638 2.6638 0.0000
```